Entry 1:
Material: SmEr2ThP4
Method: DFT, PBE
State: relaxed Values from VASP.

Geometry as Quantum ESPRESSO input:
```
&SYSTEM
  ibrav = 0, nat = 8, ntyp = 4
/
ATOMIC_SPECIES
Sm 150.36 Sm.upf
Er 167.26 Er.upf
Th 232.04 Th.upf
P 30.97 P.upf
CELL_PARAMETERS angstrom
6.9919 0.0000 0.0000
0.0000 4.0562 0.0000
-2.3418 0.0000 6.6137
ATOMIC_POSITIONS crystal
Sm 0.0000 0.0000 0.0000
Er 0.5000 0.0000 0.5000
Er 0.5000 0.5000 0.0000
Th 0.0000 0.5000 0.5000
P 0.2583 0.5000 0.2533
P 0.2592 0.0000 0.7533
P 0.7408 0.0000 0.2467
P 0.7417 0.5000 0.7467
```

Entry 2:
Material: Ba2Ge3Au2
Method: DFT, PBE
State: relaxed Values from VASP.

Geometry as Quantum ESPRESSO input:
```
&SYSTEM
  ibrav = 0, nat = 14, ntyp = 3
/
ATOMIC_SPECIES
Ba 137.33 Ba.upf
Ge 72.64 Ge.upf
Au 196.97 Au.upf
CELL_PARAMETERS angstrom
12.2701 0.0000 0.0000
0.0000 4.5189 0.0000
-1.1872 0.0000 6.9175
ATOMIC_POSITIONS crystal
Ba 0.1744 0.0000 0.2364
Ba 0.3256 0.5000 0.7636
Ba 0.6744 0.5000 0.2364
Ba 0.8256 0.0000 0.7636
Ge 0.0000 0.5000 0.5000
Ge 0.0758 0.5000 0.8979
Ge 0.4242 0.0000 0.1021
Ge 0.5000 0.0000 0.5000
Ge 0.5758 0.0000 0.8979
Ge 0.9242 0.5000 0.1021
Au 0.0928 0.0000 0.7052
Au 0.4072 0.5000 0.2948
Au 0.5928 0.5000 0.7052
Au 0.9072 0.0000 0.2948
```

Entry 3:
Material: TmMg2Tl
Method: DFT, PBE
State: relaxed Values from VASP.

## Properties
Distance to the lowest polymorph of the same formula (meV per atom): 195

Geometry as Quantum ESPRESSO input:
```
&SYSTEM
  ibrav = 0, nat = 16, ntyp = 3
/
ATOMIC_SPECIES
Tm 168.93 Tm.upf
Mg 24.30 Mg.upf
Tl 204.38 Tl.upf
CELL_PARAMETERS angstrom
7.3304 0.0000 0.0000
0.0000 7.3304 0.0000
0.0000 0.0000 7.3304
ATOMIC_POSITIONS crystal
Tm 0.0000 0.0000 0.0000
Tm 0.0000 0.5000 0.5000
Tm 0.5000 0.0000 0.5000
Tm 0.5000 0.5000 0.0000
Mg 0.2500 0.2500 0.2500
Mg 0.2500 0.2500 0.7500
Mg 0.2500 0.7500 0.2500
Mg 0.2500 0.7500 0.7500
Mg 0.7500 0.2500 0.2500
Mg 0.7500 0.2500 0.7500
Mg 0.7500 0.7500 0.2500
Mg 0.7500 0.7500 0.7500
Tl 0.0000 0.0000 0.5000
Tl 0.0000 0.5000 0.0000
Tl 0.5000 0.0000 0.0000
Tl 0.5000 0.5000 0.5000
```

E_form for the records above, in order: -154.5; -46.8; 0.7 kJ per mole of atoms